Tl3Zn | PBEsol | relaxed

Geometry as POSCAR:
```
Tl3Zn
1.0
-2.6481 -2.0852 -0.1038
1.5396 -1.7235 -2.4558
3.7932 -5.1142 5.9673
Tl Zn
3 1
direct
0.5000 0.5000 0.0000
0.0000 0.0000 0.2872
0.0000 0.0000 0.7128
0.5000 0.5000 0.5000
```

Results
For the energy relative to the elements, the calculation gives 2.4 kcal/mol of atoms. As for the total magnetization: 0.00 μB/cell. The symmetry is Cmmm, No. 65. The density of states at the Fermi level comes out at 0.450 states/eV per atom.